Cs2LiHg2Cl6 after structural relaxation, computed with PBE.

Computed properties:
size of the total moment: 0.0000 μB/atom
crystal system: monoclinic
raw formation energy: -1.23 eV per atom

abc: 13.318 7.685 8.375
angles: 90.00 119.82 90.00
Space group C2/m (No. 12)
Asymmetric unit:
Cs: 0.218 0.000 0.195 [4 per cell]
Li: 0.000 0.000 0.500 [2 per cell]
Hg: 0.048 0.500 0.192 [4 per cell]
Cl: 0.046 0.224 0.763 [8 per cell]
Cl: 0.232 0.000 0.619 [4 per cell]

CsLi3Hg4Cl12 after structural relaxation, computed with PBE.

Computed properties:
size of the total moment: 0.0000 μB/atom
crystal system: trigonal
raw formation energy: -1.05 eV per atom

abc: 14.5635 14.5635 9.6506
angles: 90.00 90.00 120.00
Space group R32 (No. 155, hexagonal axes)
Asymmetric unit:
Cs: 0.0000 0.0000 0.0000 [3 per cell]
Li: 0.0000 0.5594 0.0000 [9 per cell]
Hg: 0.0000 0.0000 0.5000 [3 per cell]
Hg: 0.0000 0.4400 0.5000 [9 per cell]
Cl: 0.0000 0.6068 0.5000 [9 per cell]
Cl: 0.0000 0.8315 0.5000 [9 per cell]
Cl: 0.0709 0.2413 0.1676 [18 per cell]

CsMgHgCl5 after structural relaxation, computed with PBE.

Computed properties:
size of the total moment: 0.0000 μB/atom
crystal system: monoclinic
raw formation energy: -1.41 eV per atom

abc: 9.055 12.335 9.519
angles: 90.00 110.56 90.00
Space group C2/c (No. 15)
Asymmetric unit:
Cs: 0.000 0.159 0.250 [4 per cell]
Mg: 0.000 0.500 0.000 [4 per cell]
Hg: 0.000 0.191 0.750 [4 per cell]
Cl: 0.000 0.446 0.250 [4 per cell]
Cl: 0.101 0.311 0.585 [8 per cell]
Cl: 0.204 0.070 0.942 [8 per cell]

Cs2MgHgCl6 after structural relaxation, computed with PBE.

Computed properties:
ΔE to the lowest computed polymorph: 16 meV per atom
size of the total moment: 0.0000 μB/atom
crystal system: tetragonal
raw formation energy: -1.54 eV per atom

abc: 7.594 7.594 10.460
angles: 90.00 90.00 90.00
Space group I4/mmm (No. 139)
Asymmetric unit:
Cs: 0.000 0.500 0.250 [4 per cell]
Mg: 0.000 0.000 0.000 [2 per cell]
Hg: 0.000 0.000 0.500 [2 per cell]
Cl: 0.000 0.000 0.263 [4 per cell]
Cl: 0.230 0.230 0.000 [8 per cell]